1.
Below is RbTmRu2O8 after structural relaxation, with properties calculated at the PBE-GGA level.

Geometry as CIF:
```
data_RbTmRu2O8
_symmetry_space_group_name_H-M 'P -3'
_symmetry_Int_Tables_number 147
_cell_length_a 5.8924
_cell_length_b 5.8924
_cell_length_c 8.0502
_cell_angle_alpha 90.00
_cell_angle_beta 90.00
_cell_angle_gamma 120.00
loop_
_symmetry_equiv_pos_as_xyz
'x,y,z'
'-x,-y,-z'
'-y,x-y,z'
'y,-x+y,-z'
'-x+y,-x,z'
'x-y,x,-z'
loop_
_atom_site_label
_atom_site_type_symbol
_atom_site_fract_x
_atom_site_fract_y
_atom_site_fract_z
Rb1 Rb 0.0000 0.0000 0.0000
Tm1 Tm 0.0000 0.0000 0.5000
Ru1 Ru 0.3333 0.6667 0.7450
O1 O 0.1297 0.3361 0.6704
O2 O 0.3333 0.6667 0.9626
```

Summary:
- Formation energy from raw total energies: -145 kJ per mole of atoms
- Density: 4.0 Mg/m³



2.
Below is CrCdCl after structural relaxation, with properties calculated at the PBE-GGA level.

Geometry as CIF:
```
data_CrCdCl
_symmetry_space_group_name_H-M 'P 3 m 1'
_symmetry_Int_Tables_number 156
_cell_length_a 3.4887
_cell_length_b 3.4887
_cell_length_c 6.2676
_cell_angle_alpha 90.00
_cell_angle_beta 90.00
_cell_angle_gamma 120.00
loop_
_symmetry_equiv_pos_as_xyz
'x,y,z'
'-y,x-y,z'
'-x+y,-x,z'
'-y,-x,z'
'-x+y,y,z'
'x,x-y,z'
loop_
_atom_site_label
_atom_site_type_symbol
_atom_site_fract_x
_atom_site_fract_y
_atom_site_fract_z
Cr1 Cr 0.0000 0.0000 0.0000
Cd1 Cd 0.6667 0.3333 0.3251
Cl1 Cl 0.3333 0.6667 0.7472
```

Summary:
- Formation energy from raw total energies: -4 kJ per mole of atoms
- ΔE to the lowest computed polymorph: 0 meV per atom
- Density: 5.0 Mg/m³



3.
Below is KTaTeN2 after structural relaxation, with properties calculated at the PBE-GGA level.

Geometry as CIF:
```
data_KTaTeN2
_symmetry_space_group_name_H-M 'P 4/m m m'
_symmetry_Int_Tables_number 123
_symmetry_space_group_name_Hall '-P 4 2'
_cell_length_a 4.554
_cell_length_b 4.554
_cell_length_c 6.267
_cell_angle_alpha 90.00
_cell_angle_beta 90.00
_cell_angle_gamma 90.00
loop_
_atom_site_label
_atom_site_type_symbol
_atom_site_fract_x
_atom_site_fract_y
_atom_site_fract_z
K1 K 0.000 0.000 0.000
Ta1 Ta 0.500 0.500 0.500
Te1 Te 0.000 0.000 0.500
N1 N 0.000 0.500 0.000
```

Summary:
- Formation energy from raw total energies: 250 kJ per mole of atoms
- ΔE to the lowest computed polymorph: 2468 meV per atom
- Density: 4.8 Mg/m³